(1)
An optimized crystal structure of HgP2SeN. Source: the Alexandria database, functional PBE.

Unit cell a=4.930 b=5.313 c=4.930 alpha=90.00 beta=90.00 gamma=90.00
Site moments in Bohr magnetons follow the coordinates.
Element x y z (fractional)
P 0.000 0.000 0.500  0.24
P 0.500 0.000 0.000  0.21
Se 0.000 0.500 0.000  -0.01
N 0.500 0.500 0.500  0.04
Hg 0.000 0.000 0.000  0.01

## Properties
Uncorrected formation energy, eV per atom: 2.49
Size of the total moment, μB per atom: 0.206

(2)
An optimized crystal structure of Pm2Pr2DyEr2. Source: the Alexandria database, functional PBE.

Unit cell a=5.744 b=5.744 c=8.868 alpha=71.10 beta=71.10 gamma=60.00
Element x y z (fractional)
Er 0.428 0.428 0.716
Er 0.572 0.572 0.284
Pm 0.716 0.716 0.853
Pm 0.284 0.284 0.147
Dy 0.000 0.000 0.000
Pr 0.138 0.138 0.585
Pr 0.862 0.862 0.415

## Properties
Size of the total moment, μB per atom: 0.000
Formation energy from the elements, kJ/mol of formula units: 86

(3)
An optimized crystal structure of YErN2. Source: the Alexandria database, functional PBE.

Unit cell a=3.396 b=3.396 c=6.196 alpha=74.10 beta=74.10 gamma=60.00
Element x y z (fractional)
N 0.081 0.081 0.757
N 0.253 0.253 0.241
Y 0.498 0.498 0.507
Er 0.668 0.668 0.995

## Properties
Uncorrected formation energy, eV per atom: -1.49
Size of the total moment, μB per atom: 0.000

(4)
An optimized crystal structure of Nb2InW. Source: the Alexandria database, functional PBE.

Unit cell a=7.591 b=7.591 c=6.064 alpha=51.25 beta=51.25 gamma=90.00
Element x y z (fractional)
Nb 0.663 0.125 0.250
Nb 0.375 0.337 0.750
Nb 0.087 0.625 0.250
Nb 0.875 0.913 0.750
In 0.500 0.500 0.000
In 0.250 0.750 0.500
W 0.000 0.000 0.000
W 0.750 0.250 0.500

## Properties
Size of the total moment, μB per atom: 0.000
Formation energy from the elements, kJ/mol of formula units: 282

(5)
An optimized crystal structure of CuMoW. Source: the Alexandria database, functional PBE.

Unit cell a=2.752 b=2.752 c=14.260 alpha=84.46 beta=84.46 gamma=60.00
Element x y z (fractional)
Cu 0.143 0.143 0.572
Cu 0.857 0.857 0.428
W 0.757 0.757 0.730
W 0.243 0.243 0.270
Mo 0.304 0.304 0.087
Mo 0.696 0.696 0.913

## Properties
Size of the total moment, μB per atom: 0.000
Formation energy from the elements, kJ/mol of formula units: 175

(6)
An optimized crystal structure of Th2Pa3Tc2. Source: the Alexandria database, functional PBE.

Unit cell a=3.716 b=6.120 c=8.770 alpha=68.25 beta=77.77 gamma=72.33
Element x y z (fractional)
Th 0.161 0.475 0.203
Th 0.839 0.525 0.797
Pa 0.500 0.000 0.000
Pa 0.623 0.197 0.557
Pa 0.377 0.803 0.443
Tc 0.874 0.033 0.218
Tc 0.126 0.967 0.782

## Properties
Size of the total moment, μB per atom: 0.000
Formation energy from the elements, kJ/mol of formula units: -116

(7)
An optimized crystal structure of PdSNF2. Source: the Alexandria database, functional PBE.

Unit cell a=4.225 b=4.225 c=3.929 alpha=90.00 beta=90.00 gamma=90.00
Site moments in Bohr magnetons follow the coordinates.
Element x y z (fractional)
F 0.500 0.000 0.000  0.10
F 0.000 0.500 0.000  0.10
N 0.000 0.000 0.500  -0.51
S 0.500 0.500 0.500  1.09
Pd 0.000 0.000 0.000  -0.14

## Properties
Uncorrected formation energy, eV per atom: 0.47
Size of the total moment, μB per atom: 0.205

(8)
An optimized crystal structure of CaCdPt2. Source: the Alexandria database, functional PBE.

Unit cell a=3.105 b=3.965 c=6.197 alpha=90.00 beta=90.00 gamma=90.00
Element x y z (fractional)
Ca 0.500 0.500 0.250
Pt 0.000 0.000 0.983
Pt 0.000 0.000 0.517
Cd 0.500 0.500 0.750

## Properties
Size of the total moment, μB per atom: 0.000
Formation energy from the elements, kJ/mol of formula units: -219

(9)
An optimized crystal structure of KRbH2. Source: the Alexandria database, functional PBE.

Unit cell a=6.354 b=6.354 c=7.707 alpha=65.65 beta=65.65 gamma=90.00
Element x y z (fractional)
H 0.375 0.395 0.750
H 0.875 0.855 0.750
H 0.605 0.125 0.250
H 0.145 0.625 0.250
Rb 0.000 0.000 0.000
Rb 0.750 0.250 0.500
K 0.250 0.750 0.500
K 0.500 0.500 0.000

## Properties
Size of the total moment, μB per atom: 0.000
VASP energy, eV/f.u.: -9.291

(10)
An optimized crystal structure of Y2Th3Ir2. Source: the Alexandria database, functional PBE.

Unit cell a=3.876 b=6.198 c=9.171 alpha=68.80 beta=77.80 gamma=71.78
Element x y z (fractional)
Th 0.378 0.809 0.435
Th 0.622 0.191 0.565
Th 0.500 0.000 0.000
Y 0.837 0.527 0.799
Y 0.163 0.473 0.201
Ir 0.855 0.081 0.209
Ir 0.145 0.919 0.791

## Properties
Size of the total moment, μB per atom: 0.000
Formation energy from the elements, kJ/mol of formula units: -391

(11)
An optimized crystal structure of Sc3AuN. Source: the Alexandria database, functional PBE.

Unit cell a=3.821 b=7.675 c=7.675 alpha=135.61 beta=90.00 gamma=90.00
Element x y z (fractional)
N 0.000 0.385 0.615
Sc 0.000 0.522 0.478
Sc 0.500 0.440 0.068
Sc 0.500 0.932 0.560
Au 0.500 0.349 0.651

## Properties
Uncorrected formation energy, eV per atom: 0.62
Size of the total moment, μB per atom: 0.000

(12)
An optimized crystal structure of Dy8Tm3Pu2. Source: the Alexandria database, functional PBE.

Unit cell a=5.619 b=7.379 c=10.650 alpha=110.33 beta=90.00 gamma=90.00
Site moments in Bohr magnetons follow the coordinates.
Element x y z (fractional)
Dy 0.000 0.140 0.280  0.28
Dy 0.000 0.860 0.720  0.28
Dy 0.500 0.829 0.223  0.17
Dy 0.500 0.171 0.777  0.17
Dy 0.500 0.606 0.777  0.17
Dy 0.000 0.324 0.648  0.26
Dy 0.500 0.394 0.223  0.17
Dy 0.000 0.676 0.352  0.26
Pu 0.500 0.242 0.484  5.72
Pu 0.500 0.758 0.516  5.72
Tm 0.000 0.274 0.000  -0.07
Tm 0.500 0.000 0.000  -0.18
Tm 0.000 0.726 0.000  -0.07

## Properties
Size of the total moment, μB per atom: 1.090
Formation energy from the elements, kJ/mol of formula units: 359

(13)
An optimized crystal structure of MgCoIr2. Source: the Alexandria database, functional PBE.

Unit cell a=8.726 b=8.726 c=8.726 alpha=18.29 beta=18.29 gamma=18.29
Site moments in Bohr magnetons follow the coordinates.
Element x y z (fractional)
Ir 0.496 0.496 0.496  0.44
Ir 0.004 0.004 0.004  0.44
Co 0.750 0.750 0.750  1.77
Mg 0.250 0.250 0.250  -0.01

## Properties
Size of the total moment, μB per atom: 0.651
Formation energy from the elements, kJ/mol of formula units: -8

(14)
An optimized crystal structure of SrTaHg2H. Source: the Alexandria database, functional PBE.

Unit cell a=5.321 b=6.315 c=5.321 alpha=90.00 beta=90.00 gamma=90.00
Site moments in Bohr magnetons follow the coordinates.
Element x y z (fractional)
Hg 0.500 0.000 0.000  0.03
Hg 0.000 0.000 0.500  0.02
Ta 0.000 0.000 0.000  0.44
H 0.500 0.500 0.500  0.09
Sr 0.000 0.500 0.000  0.02

## Properties
Size of the total moment, μB per atom: 0.191
VASP energy, eV/f.u.: -11.929